Material: RbBaC2
Method: DFT, SCAN
State: single point on PBEsol structure

abc: 6.9875 6.9875 6.9875
angles: 90.00 90.00 90.00
Last column: nearest neighbours and their distance in Å.
Space group Fm-3m (No. 225)
Unique sites:
Rb1 0.0000 0.0000 0.0000 [4 per cell]  8 C 3.03
Ba1 0.0000 0.0000 0.5000 [4 per cell]  8 C 3.03
C1 0.2500 0.2500 0.2500 [8 per cell]  4 Ba 3.03, 4 Rb 3.03

Values from the calculation:
DOS at the Fermi energy (states/eV per cell): 7.88
Energy above the most stable polymorph in this dataset (meV/atom): 0
Energy of formation (eV per formula unit): 7.2